No. 1
ScTl3Si: optimized geometry, PBE.

Output
Formation energy from raw total energies   0.816 eV per atom
Space group   Pm-3m, No. 221
Magnetization   0.398 μB/f.u.
Polymorph energy (0 for the lowest one)   253 meV/atom

Unit cell a=5.5713 b=5.5713 c=5.5713 alpha=90.00 beta=90.00 gamma=90.00
Last column: nearest neighbours and their distance in Å.
Atoms (fractional coordinates):
Si (0.5000, 0.5000, 0.5000)  12 Tl 3.94
Tl (0.0000, 0.5000, 0.0000)  2 Sc 2.79
Tl (0.5000, 0.0000, 0.0000)  2 Sc 2.79
Tl (0.0000, 0.0000, 0.5000)  2 Sc 2.79
Sc (0.0000, 0.0000, 0.0000)  6 Tl 2.79

No. 2
Sr2ScNi: optimized geometry, PBE.

Output
Space group   Fm-3m, No. 225
Magnetization   0.000 μB/f.u.
Formation energy from the elements   0.529 eV/atom
Polymorph energy (0 for the lowest one)   504 meV/atom

Unit cell a=5.5302 b=5.5302 c=5.5302 alpha=60.00 beta=60.00 gamma=60.00
Last column: nearest neighbours and their distance in Å.
Atoms (fractional coordinates):
Sc (0.0000, 0.0000, 0.0000)  8 Sr 3.39
Ni (0.5000, 0.5000, 0.5000)  8 Sr 3.39
Sr (0.7500, 0.7500, 0.7500)  4 Sc 3.39, 4 Ni 3.39
Sr (0.2500, 0.2500, 0.2500)  4 Ni 3.39, 4 Sc 3.39

No. 3
K6Rb6Cd: optimized geometry, PBE.

Output
Space group   P6/mmm, No. 191
Magnetization   0.000 μB/f.u.
Formation energy from the elements   0.084 eV/atom

Unit cell a=8.7309 b=8.7309 c=16.3754 alpha=90.00 beta=90.00 gamma=120.00
Last column: nearest neighbours and their distance in Å.
Atoms (fractional coordinates):
Rb (0.0000, 0.0000, 0.3591)  1 Rb 4.61, 6 K 4.76
Rb (0.6667, 0.3333, 0.5000)  6 K 4.90, 3 Rb 5.04
Rb (0.3333, 0.6667, 0.5000)  6 K 4.90, 3 Rb 5.04
Rb (0.0000, 0.0000, 0.6409)  1 Rb 4.61, 6 K 4.76
Rb (0.6667, 0.3333, 0.0000)  6 K 4.71, 3 Rb 5.04, 3 Cd 5.04
Rb (0.3333, 0.6667, 0.0000)  6 K 4.71, 3 Rb 5.04, 3 Cd 5.04
K (0.0000, 0.5000, 0.7568)  4 K 4.37, 4 Rb 4.71-4.76
K (0.0000, 0.5000, 0.2432)  4 K 4.37, 4 Rb 4.71-4.76
K (0.5000, 0.5000, 0.2432)  4 K 4.37, 4 Rb 4.71-4.76
K (0.5000, 0.0000, 0.2432)  4 K 4.37, 4 Rb 4.71-4.76
K (0.5000, 0.5000, 0.7568)  4 K 4.37, 4 Rb 4.71-4.76
K (0.5000, 0.0000, 0.7568)  4 K 4.37, 4 Rb 4.71-4.76
Cd (0.0000, 0.0000, 0.0000)  6 Rb 5.04

No. 4
Zr2HgN: optimized geometry, PBE.

Output
Formation energy from raw total energies   -0.934 eV per atom
Space group   Pmmn, No. 59
Magnetization   0.000 μB/f.u.
Polymorph energy (0 for the lowest one)   62 meV/atom

Unit cell a=3.2939 b=4.5821 c=9.2825 alpha=90.00 beta=90.00 gamma=90.00
Last column: nearest neighbours and their distance in Å.
Atoms (fractional coordinates):
Zr (0.0000, 0.5000, 0.5750)  4 N 2.29-2.30
Zr (0.5000, 0.0000, 0.4250)  4 N 2.29-2.30
Zr (0.5000, 0.0000, 0.7600)  2 N 2.24
Zr (0.0000, 0.5000, 0.2400)  2 N 2.24
Hg (0.5000, 0.0000, 0.0927)  6 Zr 3.09-3.14, 6 Hg 3.29-3.30
Hg (0.0000, 0.5000, 0.9073)  6 Zr 3.09-3.14, 6 Hg 3.29-3.30
N (0.5000, 0.5000, 0.4031)  6 Zr 2.24-2.30
N (0.0000, 0.0000, 0.5969)  6 Zr 2.24-2.30

No. 5
Tm2MnHg: optimized geometry, PBE.

Output
Space group   Fm-3m, No. 225
Magnetization   3.088 μB/f.u.
Formation energy from the elements   -0.087 eV/atom
Polymorph energy (0 for the lowest one)   90 meV/atom

Unit cell a=5.0784 b=5.0784 c=5.0784 alpha=60.00 beta=60.00 gamma=60.00
Last column: nearest neighbours and their distance in Å.
Atoms (fractional coordinates):
Tm (0.7500, 0.7500, 0.7500)  4 Hg 3.11, 4 Mn 3.11
Tm (0.2500, 0.2500, 0.2500)  4 Hg 3.11, 4 Mn 3.11
Hg (0.0000, 0.0000, 0.0000)  8 Tm 3.11
Mn (0.5000, 0.5000, 0.5000)  8 Tm 3.11

No. 6
Tb4Y4Ho: optimized geometry, PBE.

Output
Space group   C2/m, No. 12
Magnetization   0.000 μB/f.u.
Formation energy from the elements   0.104 eV/atom
Polymorph energy (0 for the lowest one)   84 meV/atom

Unit cell a=5.5070 b=8.8225 c=9.0447 alpha=44.74 beta=72.28 gamma=71.81
Last column: nearest neighbours and their distance in Å.
Atoms (fractional coordinates):
Y (0.1351, 0.7044, 0.0254)  5 Tb 3.31-3.63, 3 Y 3.48-3.57, 2 Ho 3.61
Y (0.7193, 0.8599, 0.7016)  5 Tb 3.34-3.74, 1 Ho 3.48, 3 Y 3.48-3.57
Y (0.2807, 0.1401, 0.2984)  5 Tb 3.34-3.74, 1 Ho 3.48, 3 Y 3.48-3.57
Y (0.8649, 0.2956, 0.9746)  5 Tb 3.31-3.63, 3 Y 3.48-3.57, 2 Ho 3.61
Ho (0.5000, 0.0000, 0.0000)  6 Y 3.48-3.61, 6 Tb 3.56-3.70
Tb (0.6370, 0.4329, 0.2931)  6 Y 3.31-3.67, 2 Tb 3.42, 1 Ho 3.56
Tb (0.0730, 0.2428, 0.6113)  3 Tb 3.32-3.42, 3 Y 3.34-3.45, 2 Ho 3.70
Tb (0.3630, 0.5671, 0.7069)  6 Y 3.31-3.67, 2 Tb 3.42, 1 Ho 3.56
Tb (0.9270, 0.7572, 0.3887)  3 Tb 3.32-3.42, 3 Y 3.34-3.45, 2 Ho 3.70

No. 7
PmErPdRu: optimized geometry, PBE.

Output
Space group   F-43m, No. 216
Magnetization   0.000 μB/f.u.
Formation energy from the elements   -0.573 eV/atom
Polymorph energy (0 for the lowest one)   44 meV/atom

Unit cell a=4.9226 b=4.9226 c=4.9226 alpha=60.00 beta=60.00 gamma=60.00
Last column: nearest neighbours and their distance in Å.
Atoms (fractional coordinates):
Ru (0.7500, 0.7500, 0.7500)  4 Er 3.01, 4 Pm 3.01
Pm (0.5000, 0.5000, 0.5000)  4 Pd 3.01, 4 Ru 3.01
Pd (0.2500, 0.2500, 0.2500)  4 Er 3.01, 4 Pm 3.01
Er (0.0000, 0.0000, 0.0000)  4 Ru 3.01, 4 Pd 3.01

No. 8
KLi4Au3F12: optimized geometry, PBE.

Output
Formation energy from raw total energies   -1.952 eV per atom
Space group   Im-3, No. 204
Magnetization   2.002 μB/f.u.

Unit cell a=6.8619 b=6.8619 c=6.8619 alpha=109.47 beta=109.47 gamma=109.47
Last column: nearest neighbours and their distance in Å.
Atoms (fractional coordinates):
F (0.8205, 0.1269, 0.3064)  1 Au 2.09, 2 Li 2.11
F (0.6936, 0.8205, 0.5140)  1 Au 2.09, 2 Li 2.11
F (0.6936, 0.1795, 0.8731)  1 Au 2.09, 2 Li 2.11
F (0.4860, 0.3064, 0.1795)  1 Au 2.09, 2 Li 2.11
F (0.8731, 0.6936, 0.1795)  1 Au 2.09, 2 Li 2.11
F (0.1795, 0.8731, 0.6936)  1 Au 2.09, 2 Li 2.11
F (0.8205, 0.5140, 0.6936)  1 Au 2.09, 2 Li 2.11
F (0.3064, 0.1795, 0.4860)  1 Au 2.09, 2 Li 2.11
F (0.1795, 0.4860, 0.3064)  1 Au 2.09, 2 Li 2.11
F (0.3064, 0.8205, 0.1269)  1 Au 2.09, 2 Li 2.11
F (0.1269, 0.3064, 0.8205)  1 Au 2.09, 2 Li 2.11
F (0.5140, 0.6936, 0.8205)  1 Au 2.09, 2 Li 2.11
Li (0.0000, 0.5000, 0.0000)  6 F 2.11
Li (0.5000, 0.0000, 0.0000)  6 F 2.11
Li (0.5000, 0.5000, 0.5000)  6 F 2.11
Li (0.0000, 0.0000, 0.5000)  6 F 2.11
Au (0.0000, 0.5000, 0.5000)  4 F 2.09
Au (0.5000, 0.5000, 0.0000)  4 F 2.09
Au (0.5000, 0.0000, 0.5000)  4 F 2.09
K (0.0000, 0.0000, 0.0000)  12 F 2.81